The following is a PBE-GGA calculation of crystalline SmNbCu at its relaxed geometry, from OQMD.

Offset from the most stable computed form: 0 meV per atom
Calculated total energy: -15.46 eV/cell
V: 67.0 Å³/f.u.
Size of the total moment: 0.86 μB per cell

Lattice parameters (Å, degrees): 4.5589 4.5589 4.5589 60.00 60.00 60.00
Last column: nearest neighbours and their distance in Å.
Atoms (fractional coordinates):
Sm: 0.0000 0.0000 0.0000  4 Nb 2.79
Nb: 0.7500 0.7500 0.7500  4 Cu 2.79, 4 Sm 2.79
Cu: 0.5000 0.5000 0.5000  4 Nb 2.79